(1)
The following is a DFT calculation (PBE-GGA) of crystalline Zr2AlCl at its relaxed geometry.

Properties
* E: -24.4 eV per cell
* space-group type: No. 99

Unit cell a=3.2019 b=3.2019 c=9.2389 alpha=90.00 beta=90.00 gamma=90.00
With the nearest neighbours (Å) after each atom.
Element x y z (fractional)
Zr  0.0000  0.0000  0.0000  4 Cl 2.77
Zr  0.5000  0.5000  0.2555  4 Al 2.86, 4 Zr 3.20
Al  0.0000  0.0000  0.4450  4 Zr 2.86, 4 Al 3.20
Cl  0.5000  0.5000  0.8268  4 Zr 2.77


(2)
The following is a DFT calculation (PBE-GGA) of crystalline Ta2ZnBr at its relaxed geometry.

Properties
* E: -24.6 eV per cell
* space-group type: No. 65

Unit cell a=3.0408 b=3.0408 c=9.4069 alpha=90.00 beta=90.00 gamma=120.65
With the nearest neighbours (Å) after each atom.
Element x y z (fractional)
Ta  0.0000  0.0000  0.2473  2 Zn 2.77, 2 Br 2.81, 6 Ta 3.01-3.04
Ta  0.0000  0.0000  0.7527  2 Zn 2.77, 2 Br 2.81, 6 Ta 3.01-3.04
Zn  0.5000  0.5000  0.0000  4 Ta 2.77, 6 Zn 3.01-3.04
Br  0.5000  0.5000  0.5000  4 Ta 2.81, 6 Br 3.01-3.04


Raw formation energy / meV per atom: -432, 525